# BaCoN2O GGA+U optimized geometry
# - Calculated total energy: -16.9 eV for the cell shown
data_BaCoN2O
_chemical_formula_sum 'Ba1 Co1 N2 O1'
_cell_length_a 5.2596
_cell_length_b 5.2596
_cell_length_c 7.4388
_cell_angle_alpha 90.00
_cell_angle_beta 90.00
_cell_angle_gamma 90.00
_space_group_name_H-M_alt 'P 4/m m m'
_space_group_IT_number 123
_space_group_name_Hall '-P 4 2'
loop_
_atom_site_label
_atom_site_type_symbol
_atom_site_fract_x
_atom_site_fract_y
_atom_site_fract_z
_atom_site_occupancy
Ba1 Ba 0.0000 0.0000 0.0000 1
Co1 Co 0.0000 0.0000 0.5000 1
N1 N 0.0000 0.5000 0.0000 1
O1 O 0.5000 0.5000 0.5000 1